[1]
Entry from the Alexandria database: crystalline Li23MnZn6 at its relaxed geometry (GGA-PBE).

Calculated values
The formation energy comes out at -11 meV per atom. The value obtained for the density of states at the Fermi level is 13.3 states/eV/f.u.

Unit cell a=9.006 b=9.006 c=9.006 alpha=60.00 beta=60.00 gamma=60.00
Site moments in Bohr magnetons follow the coordinates.
Sites, in units of the cell vectors:
Li 0.629 0.124 0.124  0.00
Li 0.371 0.876 0.876  0.00
Li 0.124 0.124 0.629  0.00
Li 0.124 0.124 0.124  0.00
Li 0.876 0.876 0.371  0.00
Li 0.876 0.876 0.876  0.00
Li 0.124 0.629 0.124  0.00
Li 0.876 0.371 0.876  0.00
Li 0.500 0.500 0.000  0.01
Li 0.000 0.000 0.500  0.01
Li 0.500 0.000 0.000  0.01
Li 0.000 0.500 0.500  0.01
Li 0.500 0.000 0.500  0.01
Li 0.000 0.500 0.000  0.01
Li 0.879 0.374 0.374  -0.01
Li 0.121 0.626 0.626  -0.01
Li 0.374 0.374 0.879  -0.01
Li 0.374 0.374 0.374  -0.01
Li 0.626 0.626 0.121  -0.01
Li 0.626 0.626 0.626  -0.01
Li 0.374 0.879 0.374  -0.01
Li 0.626 0.121 0.626  -0.01
Li 0.000 0.000 0.000  -0.03
Mn 0.500 0.500 0.500  3.89
Zn 0.740 0.740 0.260  -0.01
Zn 0.260 0.260 0.740  -0.01
Zn 0.740 0.260 0.260  -0.01
Zn 0.260 0.740 0.740  -0.01
Zn 0.740 0.260 0.740  -0.01
Zn 0.260 0.740 0.260  -0.01

[2]
Entry from the Alexandria database: crystalline HfBIr2Rh at its relaxed geometry (GGA-PBE).

Calculated values
The formation energy comes out at -680 meV per atom. The value obtained for the density of states at the Fermi level is 0.3 states/eV/f.u.

Unit cell a=4.146 b=4.146 c=4.170 alpha=90.00 beta=90.00 gamma=90.00
Sites, in units of the cell vectors:
Rh 0.000 0.000 0.500
B 0.000 0.000 0.000
Ir 0.000 0.500 0.000
Ir 0.500 0.000 0.000
Hf 0.500 0.500 0.500

[3]
Entry from the Alexandria database: crystalline Mg4TiN4 at its relaxed geometry (GGA-PBE).

Calculated values
The uncorrected formation energy is -8.1 eV/f.u. The value obtained for the density of states at the Fermi level is 0.0 states/eV/f.u. Its excess energy over the best structure of this formula in the dataset is 87 meV per atom.

Unit cell a=5.830 b=5.830 c=6.615 alpha=90.00 beta=90.00 gamma=93.84
Sites, in units of the cell vectors:
Mg 0.159 0.841 0.500
Mg 0.159 0.841 0.000
Mg 0.568 0.873 0.750
Mg 0.127 0.432 0.250
Mg 0.873 0.568 0.750
Mg 0.432 0.127 0.250
Mg 0.841 0.159 0.000
Mg 0.841 0.159 0.500
Ti 0.338 0.338 0.750
Ti 0.662 0.662 0.250
N 0.258 0.660 0.750
N 0.340 0.742 0.250
N 0.205 0.205 0.499
N 0.205 0.205 0.001
N 0.795 0.795 0.501
N 0.795 0.795 0.999
N 0.742 0.340 0.250
N 0.660 0.258 0.750

[4]
Entry from the Alexandria database: crystalline CeTh9In2 at its relaxed geometry (GGA-PBE).

Calculated values
The formation energy comes out at -69 meV per atom. The value obtained for the density of states at the Fermi level is 16.4 states/eV/f.u.

Unit cell a=4.936 b=4.936 c=15.174 alpha=90.00 beta=90.00 gamma=90.00
Sites, in units of the cell vectors:
Ce 0.000 0.000 0.000
Th 0.500 0.500 0.000
Th 0.500 0.500 0.333
Th 0.500 0.500 0.667
Th 0.500 0.000 0.171
Th 0.500 0.000 0.500
Th 0.500 0.000 0.829
Th 0.000 0.500 0.171
Th 0.000 0.500 0.500
Th 0.000 0.500 0.829
In 0.000 0.000 0.336
In 0.000 0.000 0.664

no.,total magnetic moment (μB/cell)
1,3.8
2,0.0
3,0.0
4,0.0